<A>
The following is a GGA-PBE calculation of crystalline CsH2Au at its relaxed geometry, from the Alexandria database.

- DOS at the Fermi energy: 0.266 states/eV/cell
- Total moment: 0.00 μB per cell

abc: 6.008 6.008 8.608
angles: 90.00 90.00 90.00
Space group I-42d (No. 122)
Inequivalent atoms, fractional coordinates:
Cs 0.000 0.000 0.000 (multiplicity 4)
H 0.003 0.250 0.625 (multiplicity 8)
Au 0.000 0.000 0.500 (multiplicity 4)

<B>
The following is a GGA-PBE calculation of crystalline CsH2Au at its relaxed geometry, from the Alexandria database.

- DOS at the Fermi energy: 0.000 states/eV/cell
- Total moment: 0.00 μB per cell

abc: 7.969 11.279 4.943
angles: 90.00 126.44 90.00
Space group C2/c (No. 15)
Inequivalent atoms, fractional coordinates:
Cs 0.000 0.149 0.250 (multiplicity 4)
H 0.242 0.091 0.979 (multiplicity 8)
Au 0.000 0.414 0.750 (multiplicity 4)

Q: Which of them is the least stable? A: <A>.

<A>
The following is a GGA-PBE calculation of crystalline CsH2Au at its relaxed geometry, from the Alexandria database.

- DOS at the Fermi energy: 9.110 states/eV/cell
- Total moment: 4.08 μB per cell

abc: 6.944 6.944 6.944
angles: 90.00 90.00 90.00
Space group Fm-3m (No. 225)
Inequivalent atoms, fractional coordinates:
Cs 0.000 0.000 0.000 (multiplicity 4)
H 0.250 0.250 0.250 (multiplicity 8)
Au 0.000 0.000 0.500 (multiplicity 4)

<B>
The following is a GGA-PBE calculation of crystalline CsH2Au at its relaxed geometry, from the Alexandria database.

- DOS at the Fermi energy: 0.000 states/eV/cell
- Total moment: 0.00 μB per cell

abc: 5.2187 5.2187 14.6264
angles: 90.00 90.00 120.00
Space group R-3m (No. 166, hexagonal axes)
Inequivalent atoms, fractional coordinates:
Cs 0.0000 0.0000 0.0000 (multiplicity 3)
H 0.0000 0.0000 0.3866 (multiplicity 6)
Au 0.0000 0.0000 0.5000 (multiplicity 3)

Q: Which of them is the least stable? A: <A>.

<A>
The following is a GGA-PBE calculation of crystalline CsH3Au at its relaxed geometry, from the Alexandria database.

- DOS at the Fermi energy: 3.054 states/eV/cell
- Total moment: 0.00 μB per cell

abc: 6.665 3.852 6.669
angles: 90.00 90.09 90.00
Space group Pm (No. 6)
Inequivalent atoms, fractional coordinates:
Cs 0.000 0.000 0.000 (multiplicity 1)
Cs 0.500 0.000 0.499 (multiplicity 1)
H 0.000 0.000 0.500 (multiplicity 1)
H 0.177 0.500 0.323 (multiplicity 1)
H 0.322 0.500 0.821 (multiplicity 1)
H 0.500 0.000 0.999 (multiplicity 1)
H 0.677 0.500 0.176 (multiplicity 1)
H 0.823 0.500 0.677 (multiplicity 1)
Au 0.000 0.500 0.500 (multiplicity 1)
Au 0.500 0.500 0.999 (multiplicity 1)

<B>
The following is a GGA-PBE calculation of crystalline CsH3Au at its relaxed geometry, from the Alexandria database.

- DOS at the Fermi energy: 0.692 states/eV/cell
- Total moment: 0.00 μB per cell

abc: 4.122 4.122 4.122
angles: 90.00 90.00 90.00
Space group Pm-3m (No. 221)
Inequivalent atoms, fractional coordinates:
Cs 0.000 0.000 0.000 (multiplicity 1)
H 0.000 0.500 0.500 (multiplicity 3)
Au 0.500 0.500 0.500 (multiplicity 1)

<C>
The following is a GGA-PBE calculation of crystalline CsH3Au at its relaxed geometry, from the Alexandria database.

- DOS at the Fermi energy: 3.655 states/eV/cell
- Total moment: 0.00 μB per cell

abc: 6.989 3.861 7.404
angles: 90.00 97.35 90.00
Space group P2_1/m (No. 11)
Inequivalent atoms, fractional coordinates:
Cs 0.250 0.250 0.250 (multiplicity 2)
H 0.058 0.250 0.860 (multiplicity 2)
H 0.250 0.750 0.750 (multiplicity 2)
H 0.442 0.250 0.639 (multiplicity 2)
Au 0.250 0.250 0.750 (multiplicity 2)

<D>
The following is a GGA-PBE calculation of crystalline CsH3Au at its relaxed geometry, from the Alexandria database.

- DOS at the Fermi energy: 1.728 states/eV/cell
- Total moment: 0.23 μB per cell

abc: 4.532 4.532 4.532
angles: 90.00 90.00 90.00
Space group Pm-3m (No. 221)
Inequivalent atoms, fractional coordinates:
Cs 0.000 0.000 0.000 (multiplicity 1)
H 0.000 0.000 0.500 (multiplicity 3)
Au 0.500 0.500 0.500 (multiplicity 1)

Q: Which of them is the least stable? A: <D>.

<A>
The following is a GGA-PBE calculation of crystalline CsH2Au2 at its relaxed geometry, from the Alexandria database.

- DOS at the Fermi energy: 1.510 states/eV/cell
- Total moment: 0.00 μB per cell

abc: 8.539 8.539 3.611
angles: 90.00 90.00 90.00
Space group P4/mbm (No. 127)
Inequivalent atoms, fractional coordinates:
Cs 0.000 0.000 0.000 (multiplicity 2)
H 0.129 0.371 0.500 (multiplicity 4)
Au 0.120 0.380 0.000 (multiplicity 4)

<B>
The following is a GGA-PBE calculation of crystalline CsH2Au2 at its relaxed geometry, from the Alexandria database.

- DOS at the Fermi energy: 2.767 states/eV/cell
- Total moment: 0.00 μB per cell

abc: 4.076 4.076 12.425
angles: 90.00 90.00 90.00
Space group I4/mmm (No. 139)
Inequivalent atoms, fractional coordinates:
Cs 0.000 0.000 0.000 (multiplicity 2)
H 0.000 0.500 0.250 (multiplicity 4)
Au 0.000 0.000 0.275 (multiplicity 4)

Q: Which of them is the least stable? A: <B>.

<A>
The following is a GGA-PBE calculation of crystalline Cs6HAu at its relaxed geometry, from the Alexandria database.

- DOS at the Fermi energy: 12.243 states/eV/cell
- Total moment: 0.00 μB per cell

abc: 8.838 15.580 8.744
angles: 90.00 108.70 90.00
Space group C2/m (No. 12)
Inequivalent atoms, fractional coordinates:
Cs 0.224 0.149 0.242 (multiplicity 8)
Cs 0.248 0.000 0.769 (multiplicity 4)
H 0.000 0.000 0.000 (multiplicity 2)
Au 0.000 0.500 0.500 (multiplicity 2)

<B>
The following is a GGA-PBE calculation of crystalline Cs6HAu at its relaxed geometry, from the Alexandria database.

- DOS at the Fermi energy: 5.682 states/eV/cell
- Total moment: 0.00 μB per cell

abc: 8.858 8.865 9.711
angles: 62.93 62.92 60.05
Space group P-1 (No. 2)
Inequivalent atoms, fractional coordinates:
Cs 0.099 0.377 0.260 (multiplicity 2)
Cs 0.235 0.902 0.741 (multiplicity 2)
Cs 0.380 0.763 0.260 (multiplicity 2)
H 0.000 0.000 0.500 (multiplicity 1)
Au 0.500 0.500 0.000 (multiplicity 1)

Q: Which of them is the least stable? A: <B>.

<A>
The following is a GGA-PBE calculation of crystalline CsK2HAu at its relaxed geometry, from the Alexandria database.

- DOS at the Fermi energy: 1.596 states/eV/cell
- Total moment: 0.00 μB per cell

abc: 5.369 5.369 6.030
angles: 90.00 90.00 90.00
Space group P4/mmm (No. 123)
Inequivalent atoms, fractional coordinates:
Cs 0.000 0.000 0.000 (multiplicity 1)
K 0.000 0.500 0.500 (multiplicity 2)
H 0.000 0.000 0.500 (multiplicity 1)
Au 0.500 0.500 0.000 (multiplicity 1)

<B>
The following is a GGA-PBE calculation of crystalline CsK2HAu at its relaxed geometry, from the Alexandria database.

- DOS at the Fermi energy: 11.553 states/eV/cell
- Total moment: 1.77 μB per cell

abc: 4.840 18.185 8.955
angles: 90.00 90.00 90.00
Space group Cmcm (No. 63)
Inequivalent atoms, fractional coordinates:
Cs 0.000 0.003 0.250 (multiplicity 4)
K 0.000 0.342 0.503 (multiplicity 8)
H 0.000 0.500 0.000 (multiplicity 4)
Au 0.000 0.198 0.250 (multiplicity 4)

Q: Which of them is the least stable? A: <A>.

<A>
The following is a GGA-PBE calculation of crystalline CsRb2HAu at its relaxed geometry, from the Alexandria database.

- DOS at the Fermi energy: 3.389 states/eV/cell
- Total moment: 0.00 μB per cell

abc: 5.617 5.617 6.100
angles: 90.00 90.00 90.00
Space group P4/mmm (No. 123)
Inequivalent atoms, fractional coordinates:
Cs 0.000 0.000 0.000 (multiplicity 1)
Rb 0.000 0.500 0.500 (multiplicity 2)
H 0.000 0.000 0.500 (multiplicity 1)
Au 0.500 0.500 0.000 (multiplicity 1)

<B>
The following is a GGA-PBE calculation of crystalline CsRb2HAu at its relaxed geometry, from the Alexandria database.

- DOS at the Fermi energy: 11.836 states/eV/cell
- Total moment: 0.01 μB per cell

abc: 4.824 19.630 9.204
angles: 90.00 90.00 90.00
Space group Cmcm (No. 63)
Inequivalent atoms, fractional coordinates:
Cs 0.000 0.010 0.250 (multiplicity 4)
Rb 0.000 0.343 0.009 (multiplicity 8)
H 0.000 0.500 0.000 (multiplicity 4)
Au 0.000 0.194 0.250 (multiplicity 4)

Q: Which of them is the least stable? A: <A>.

<A>
The following is a GGA-PBE calculation of crystalline Cs2HAuSe at its relaxed geometry, from the Alexandria database.

- DOS at the Fermi energy: 1.459 states/eV/cell
- Total moment: 0.00 μB per cell

abc: 6.504 6.504 3.696
angles: 90.00 90.00 90.00
Space group P4/mmm (No. 123)
Inequivalent atoms, fractional coordinates:
Cs 0.000 0.500 0.000 (multiplicity 2)
H 0.000 0.000 0.000 (multiplicity 1)
Au 0.000 0.000 0.500 (multiplicity 1)
Se 0.500 0.500 0.500 (multiplicity 1)

<B>
The following is a GGA-PBE calculation of crystalline Cs2HAuSe at its relaxed geometry, from the Alexandria database.

- DOS at the Fermi energy: 0.664 states/eV/cell
- Total moment: 0.13 μB per cell

abc: 6.532 6.532 3.725
angles: 90.00 90.00 90.00
Space group P4/mmm (No. 123)
Inequivalent atoms, fractional coordinates:
Cs 0.000 0.500 0.000 (multiplicity 2)
H 0.000 0.000 0.000 (multiplicity 1)
Au 0.500 0.500 0.500 (multiplicity 1)
Se 0.000 0.000 0.500 (multiplicity 1)

<C>
The following is a GGA-PBE calculation of crystalline Cs2HAuSe at its relaxed geometry, from the Alexandria database.

- DOS at the Fermi energy: 5.082 states/eV/cell
- Total moment: 0.00 μB per cell

abc: 3.832 5.946 14.243
angles: 90.00 90.00 90.00
Space group Imm2 (No. 44)
Inequivalent atoms, fractional coordinates:
Cs 0.000 0.000 0.000 (multiplicity 2)
Cs 0.000 0.000 0.298 (multiplicity 2)
H 0.000 0.500 0.047 (multiplicity 2)
Au 0.000 0.000 0.571 (multiplicity 2)
Se 0.000 0.000 0.756 (multiplicity 2)

Q: Which of them is the least stable? A: <C>.

<A>
The following is a GGA-PBE calculation of crystalline Cs2TlHAu at its relaxed geometry, from the Alexandria database.

- DOS at the Fermi energy: 3.065 states/eV/cell
- Total moment: 0.00 μB per cell

abc: 5.927 5.927 5.047
angles: 90.00 90.00 90.00
Space group P4/mmm (No. 123)
Inequivalent atoms, fractional coordinates:
Cs 0.000 0.500 0.000 (multiplicity 2)
Tl 0.000 0.000 0.500 (multiplicity 1)
H 0.000 0.000 0.000 (multiplicity 1)
Au 0.500 0.500 0.500 (multiplicity 1)

<B>
The following is a GGA-PBE calculation of crystalline Cs2TlHAu at its relaxed geometry, from the Alexandria database.

- DOS at the Fermi energy: 4.049 states/eV/cell
- Total moment: 0.06 μB per cell

abc: 6.689 6.689 3.864
angles: 90.00 90.00 90.00
Space group P4/mmm (No. 123)
Inequivalent atoms, fractional coordinates:
Cs 0.000 0.500 0.000 (multiplicity 2)
Tl 0.000 0.000 0.500 (multiplicity 1)
H 0.500 0.500 0.000 (multiplicity 1)
Au 0.500 0.500 0.500 (multiplicity 1)

Q: Which of them is the least stable? A: <B>.

<A>
The following is a GGA-PBE calculation of crystalline CsHfAu3 at its relaxed geometry, from the Alexandria database.

- DOS at the Fermi energy: 12.679 states/eV/cell
- Total moment: 1.49 μB per cell

abc: 5.703 5.703 5.703
angles: 90.00 90.00 90.00
Space group Pm-3m (No. 221)
Inequivalent atoms, fractional coordinates:
Cs 0.000 0.000 0.000 (multiplicity 1)
Hf 0.500 0.500 0.500 (multiplicity 1)
Au 0.000 0.000 0.500 (multiplicity 3)

<B>
The following is a GGA-PBE calculation of crystalline CsHfAu3 at its relaxed geometry, from the Alexandria database.

- DOS at the Fermi energy: 3.139 states/eV/cell
- Total moment: 0.00 μB per cell

abc: 5.437 5.437 5.437
angles: 90.00 90.00 90.00
Space group Pm-3m (No. 221)
Inequivalent atoms, fractional coordinates:
Cs 0.000 0.000 0.000 (multiplicity 1)
Hf 0.500 0.500 0.500 (multiplicity 1)
Au 0.000 0.500 0.500 (multiplicity 3)

Q: Which of them is the least stable? A: <A>.